w.
VASP calculation (SCAN) on a crystal of LaZrMn2 relaxed with PBEsol.

- Density of states at the Fermi level: 1.087 states/eV per atom

abc: 4.771 4.771 3.304
angles: 90.00 90.00 90.00
Positions (direct):
La  0.000  0.000  0.000
Zr  0.500  0.500  0.000
Mn  0.000  0.500  0.500
Mn  0.500  0.000  0.500

=====

x.
VASP calculation (SCAN) on a crystal of LaZrMn2 relaxed with PBEsol.

- Density of states at the Fermi level: 0.804 states/eV per atom

abc: 6.665 6.665 6.665
angles: 90.00 90.00 90.00
Positions (direct):
La  0.000  0.000  0.000
La  0.000  0.500  0.500
La  0.500  0.000  0.500
La  0.500  0.500  0.000
Zr  0.250  0.250  0.250
Zr  0.250  0.750  0.750
Zr  0.750  0.250  0.750
Zr  0.750  0.750  0.250
Mn  0.000  0.000  0.500
Mn  0.000  0.500  0.000
Mn  0.250  0.250  0.750
Mn  0.250  0.750  0.250
Mn  0.500  0.000  0.000
Mn  0.500  0.500  0.500
Mn  0.750  0.250  0.250
Mn  0.750  0.750  0.750

=====

Most stable pick: w. Distance to second place: 2.6 kJ/mol of atoms.

=====

w.
VASP calculation (SCAN) on a crystal of BaSiW2 relaxed with PBEsol.

- Density of states at the Fermi level: 0.875 states/eV per atom

abc: 3.039 5.777 10.035
angles: 90.00 90.00 90.00
Positions (direct):
Ba  0.000  0.000  0.000
Ba  0.500  0.500  0.500
Si  0.000  0.500  0.787
Si  0.500  0.000  0.287
W  0.000  0.000  0.503
W  0.000  0.500  0.196
W  0.500  0.000  0.696
W  0.500  0.500  0.003

=====

x.
VASP calculation (SCAN) on a crystal of BaSiW2 relaxed with PBEsol.

- Density of states at the Fermi level: 0.801 states/eV per atom

abc: 5.909 9.604 2.763
angles: 90.00 90.00 90.00
Positions (direct):
Ba  0.000  0.000  0.000
Ba  0.500  0.500  0.000
Si  0.000  0.500  0.000
Si  0.500  0.000  0.000
W  0.250  0.250  0.500
W  0.250  0.750  0.500
W  0.750  0.250  0.500
W  0.750  0.750  0.500

=====

Most stable pick: w. Distance to second place: 52.6 kJ/mol of atoms.

=====

w.
VASP calculation (SCAN) on a crystal of Sr2ZnCl relaxed with PBEsol.

- Density of states at the Fermi level: 1.076 states/eV per atom

abc: 7.779 7.779 7.779
angles: 90.00 90.00 90.00
Positions (direct):
Sr  0.250  0.250  0.250
Sr  0.250  0.250  0.750
Sr  0.250  0.750  0.250
Sr  0.250  0.750  0.750
Sr  0.750  0.250  0.250
Sr  0.750  0.250  0.750
Sr  0.750  0.750  0.250
Sr  0.750  0.750  0.750
Zn  0.000  0.000  0.000
Zn  0.000  0.500  0.500
Zn  0.500  0.000  0.500
Zn  0.500  0.500  0.000
Cl  0.000  0.000  0.500
Cl  0.000  0.500  0.000
Cl  0.500  0.000  0.000
Cl  0.500  0.500  0.500

=====

x.
VASP calculation (SCAN) on a crystal of Sr2ZnCl relaxed with PBEsol.

- Density of states at the Fermi level: 0.591 states/eV per atom

abc: 3.962 3.779 8.353
angles: 90.00 90.19 90.00
Positions (direct):
Sr  0.002  0.000  0.223
Sr  0.998  0.000  0.777
Zn  0.500  0.500  0.000
Cl  0.000  0.500  0.500

=====

Most stable pick: x. Distance to second place: 28.5 kJ/mol of atoms.

=====

w.
VASP calculation (SCAN) on a crystal of HgPb2Au relaxed with PBEsol.

- Density of states at the Fermi level: 0.433 states/eV per atom

abc: 5.174 5.174 7.244
angles: 90.00 90.00 90.00
Positions (direct):
Hg  0.000  0.000  0.000
Hg  0.500  0.500  0.500
Pb  0.000  0.500  0.250
Pb  0.000  0.500  0.750
Pb  0.500  0.000  0.250
Pb  0.500  0.000  0.750
Au  0.000  0.000  0.500
Au  0.500  0.500  0.000

=====

x.
VASP calculation (SCAN) on a crystal of HgPb2Au relaxed with PBEsol.

- Density of states at the Fermi level: 0.471 states/eV per atom

abc: 5.154 5.154 3.654
angles: 90.00 90.00 90.00
Positions (direct):
Hg  0.000  0.000  0.000
Pb  0.000  0.500  0.500
Pb  0.500  0.000  0.500
Au  0.500  0.500  0.000

=====

Most stable pick: w. Distance to second place: 0.9 kJ/mol of atoms.

=====

w.
VASP calculation (SCAN) on a crystal of MnMo2Au relaxed with PBEsol.

- Density of states at the Fermi level: 0.609 states/eV per atom

abc: 3.196 3.196 5.889
angles: 90.00 90.00 90.00
Positions (direct):
Mn  0.000  0.000  0.000
Mo  0.000  0.000  0.470
Mo  0.500  0.500  0.237
Au  0.500  0.500  0.756

=====

x.
VASP calculation (SCAN) on a crystal of MnMo2Au relaxed with PBEsol.

- Density of states at the Fermi level: 1.160 states/eV per atom

abc: 6.197 6.197 6.197
angles: 90.00 90.00 90.00
Positions (direct):
Mn  0.000  0.000  0.000
Mn  0.000  0.500  0.500
Mn  0.500  0.000  0.500
Mn  0.500  0.500  0.000
Mo  0.250  0.250  0.250
Mo  0.250  0.250  0.750
Mo  0.250  0.750  0.250
Mo  0.250  0.750  0.750
Mo  0.750  0.250  0.250
Mo  0.750  0.250  0.750
Mo  0.750  0.750  0.250
Mo  0.750  0.750  0.750
Au  0.000  0.000  0.500
Au  0.000  0.500  0.000
Au  0.500  0.000  0.000
Au  0.500  0.500  0.500

=====

Most stable pick: w. Distance to second place: 43.7 kJ/mol of atoms.

=====

w.
VASP calculation (SCAN) on a crystal of Os2RhCl relaxed with PBEsol.

- Density of states at the Fermi level: 0.854 states/eV per atom

abc: 4.100 4.100 6.790
angles: 90.00 90.00 90.00
Positions (direct):
Os  0.000  0.000  0.000
Os  0.000  0.500  0.250
Os  0.500  0.000  0.750
Os  0.500  0.500  0.500
Rh  0.000  0.000  0.500
Rh  0.500  0.500  0.000
Cl  0.000  0.500  0.750
Cl  0.500  0.000  0.250

=====

x.
VASP calculation (SCAN) on a crystal of Os2RhCl relaxed with PBEsol.

- Density of states at the Fermi level: 1.014 states/eV per atom

abc: 4.658 2.714 4.747
angles: 90.00 109.03 90.00
Positions (direct):
Os  0.000  0.000  0.000
Os  0.000  0.500  0.500
Rh  0.500  0.000  0.500
Cl  0.500  0.500  0.000

=====

Most stable pick: w. Distance to second place: 0.8 kJ/mol of atoms.

=====

w.
VASP calculation (SCAN) on a crystal of Ru2PbCl relaxed with PBEsol.

- Density of states at the Fermi level: 1.088 states/eV per atom

abc: 9.839 3.053 4.658
angles: 90.00 95.25 90.00
Positions (direct):
Ru  0.000  0.000  0.000
Ru  0.225  0.500  0.197
Ru  0.500  0.500  0.000
Ru  0.725  0.000  0.197
Pb  0.455  0.000  0.475
Pb  0.955  0.500  0.475
Cl  0.211  0.000  0.831
Cl  0.711  0.500  0.831

=====

x.
VASP calculation (SCAN) on a crystal of Ru2PbCl relaxed with PBEsol.

- Density of states at the Fermi level: 1.007 states/eV per atom

abc: 3.038 5.383 8.318
angles: 90.00 90.00 90.00
Positions (direct):
Ru  0.000  0.000  0.236
Ru  0.000  0.000  0.764
Ru  0.500  0.500  0.236
Ru  0.500  0.500  0.764
Pb  0.000  0.500  0.500
Pb  0.500  0.000  0.500
Cl  0.000  0.500  0.000
Cl  0.500  0.000  0.000

=====

Most stable pick: w. Distance to second place: 16.3 kJ/mol of atoms.

=====

w.
VASP calculation (SCAN) on a crystal of ZnRe2Hg relaxed with PBEsol.

- Density of states at the Fermi level: 0.730 states/eV per atom

abc: 3.002 4.512 9.227
angles: 90.00 90.00 90.00
Positions (direct):
Zn  0.000  0.000  0.000
Zn  0.500  0.500  0.000
Re  0.000  0.500  0.233
Re  0.000  0.500  0.767
Re  0.500  0.000  0.233
Re  0.500  0.000  0.767
Hg  0.000  0.000  0.500
Hg  0.500  0.500  0.500

=====

x.
VASP calculation (SCAN) on a crystal of ZnRe2Hg relaxed with PBEsol.

- Density of states at the Fermi level: 0.625 states/eV per atom

abc: 9.407 2.823 4.771
angles: 90.00 101.25 90.00
Positions (direct):
Zn  0.000  0.000  0.000
Zn  0.500  0.500  0.000
Re  0.244  0.500  0.235
Re  0.256  0.000  0.765
Re  0.744  0.000  0.235
Re  0.756  0.500  0.765
Hg  0.000  0.500  0.500
Hg  0.500  0.000  0.500

=====

Most stable pick: x. Distance to second place: 9.9 kJ/mol of atoms.

=====

w.
VASP calculation (SCAN) on a crystal of CuIr2Os relaxed with PBEsol.

- Density of states at the Fermi level: 0.851 states/eV per atom

abc: 3.737 3.737 7.723
angles: 90.00 90.00 90.00
Positions (direct):
Cu  0.000  0.000  0.000
Cu  0.500  0.500  0.500
Ir  0.000  0.000  0.500
Ir  0.000  0.500  0.250
Ir  0.500  0.000  0.750
Ir  0.500  0.500  0.000
Os  0.000  0.500  0.750
Os  0.500  0.000  0.250

=====

x.
VASP calculation (SCAN) on a crystal of CuIr2Os relaxed with PBEsol.

- Density of states at the Fermi level: 0.574 states/eV per atom

abc: 6.052 6.052 6.052
angles: 90.00 90.00 90.00
Positions (direct):
Cu  0.000  0.000  0.000
Cu  0.000  0.500  0.500
Cu  0.500  0.000  0.500
Cu  0.500  0.500  0.000
Ir  0.250  0.250  0.250
Ir  0.250  0.250  0.750
Ir  0.250  0.750  0.250
Ir  0.250  0.750  0.750
Ir  0.750  0.250  0.250
Ir  0.750  0.250  0.750
Ir  0.750  0.750  0.250
Ir  0.750  0.750  0.750
Os  0.000  0.000  0.500
Os  0.000  0.500  0.000
Os  0.500  0.000  0.000
Os  0.500  0.500  0.500

=====

Most stable pick: w. Distance to second place: 24.3 kJ/mol of atoms.

=====

w.
VASP calculation (SCAN) on a crystal of Li2CuNi relaxed with PBEsol.

- Density of states at the Fermi level: 0.516 states/eV per atom

abc: 3.493 3.493 7.546
angles: 90.00 90.00 90.00
Positions (direct):
Li  0.000  0.500  0.250
Li  0.000  0.500  0.750
Li  0.500  0.000  0.250
Li  0.500  0.000  0.750
Cu  0.000  0.000  0.000
Cu  0.500  0.500  0.500
Ni  0.000  0.000  0.500
Ni  0.500  0.500  0.000

=====

x.
VASP calculation (SCAN) on a crystal of Li2CuNi relaxed with PBEsol.

- Density of states at the Fermi level: 0.506 states/eV per atom

abc: 2.531 2.531 7.885
angles: 90.00 90.00 90.00
Positions (direct):
Li  0.000  0.000  0.000
Li  0.500  0.500  0.321
Cu  0.500  0.500  0.761
Ni  0.000  0.000  0.548

=====

Most stable pick: x. Distance to second place: 0.7 kJ/mol of atoms.

=====

w.
VASP calculation (SCAN) on a crystal of TlFe2Os relaxed with PBEsol.

- Density of states at the Fermi level: 0.841 states/eV per atom

abc: 2.800 2.800 25.768
angles: 90.00 90.00 120.00
Positions (direct):
Tl  0.000  0.000  0.000
Tl  0.333  0.667  0.667
Tl  0.667  0.333  0.333
Fe  0.000  0.000  0.244
Fe  0.000  0.000  0.756
Fe  0.333  0.667  0.423
Fe  0.333  0.667  0.910
Fe  0.667  0.333  0.090
Fe  0.667  0.333  0.577
Os  0.000  0.000  0.500
Os  0.333  0.667  0.167
Os  0.667  0.333  0.833

=====

x.
VASP calculation (SCAN) on a crystal of TlFe2Os relaxed with PBEsol.

- Density of states at the Fermi level: 0.650 states/eV per atom

abc: 8.743 2.835 4.756
angles: 90.00 102.95 90.00
Positions (direct):
Tl  0.000  0.000  0.000
Tl  0.500  0.500  0.000
Fe  0.010  0.500  0.511
Fe  0.238  0.000  0.730
Fe  0.510  0.000  0.511
Fe  0.738  0.500  0.730
Os  0.268  0.500  0.319
Os  0.768  0.000  0.319

=====

Most stable pick: x. Distance to second place: 6.1 kJ/mol of atoms.

=====

w.
VASP calculation (SCAN) on a crystal of Co2SiO4 relaxed with PBEsol.

- Density of states at the Fermi level: 0.494 states/eV per atom

abc: 5.696 5.696 5.696
angles: 60.00 60.00 60.00
Positions (direct):
Co  0.000  0.000  0.000
Co  0.000  0.000  0.500
Co  0.000  0.500  0.000
Co  0.500  0.000  0.000
Si  0.375  0.375  0.375
Si  0.625  0.625  0.625
O  0.256  0.256  0.256
O  0.256  0.256  0.731
O  0.256  0.731  0.256
O  0.269  0.744  0.744
O  0.731  0.256  0.256
O  0.744  0.269  0.744
O  0.744  0.744  0.269
O  0.744  0.744  0.744

=====

x.
VASP calculation (SCAN) on a crystal of Co2SiO4 relaxed with PBEsol.

abc: 7.578 7.578 7.578
angles: 135.77 82.58 114.36
Positions (direct):
Co  0.000  0.000  0.000
Co  0.128  0.000  0.628
Co  0.128  0.500  0.128
Co  0.262  0.012  0.250
Co  0.500  0.000  0.500
Co  0.738  0.988  0.750
Co  0.872  0.000  0.372
Co  0.872  0.500  0.872
Si  0.241  0.618  0.623
Si  0.495  0.618  0.877
Si  0.505  0.382  0.123
Si  0.759  0.382  0.377
O  0.021  0.771  0.250
O  0.129  0.268  0.386
O  0.129  0.743  0.862
O  0.258  0.746  0.512
O  0.266  0.254  0.012
O  0.381  0.268  0.638
O  0.381  0.743  0.114
O  0.472  0.722  0.750
O  0.528  0.278  0.250
O  0.619  0.257  0.886
O  0.619  0.732  0.362
O  0.734  0.746  0.988
O  0.742  0.254  0.488
O  0.871  0.257  0.138
O  0.871  0.732  0.614
O  0.979  0.229  0.750

=====

Most stable pick: x. Distance to second place: 2.5 kJ/mol of atoms.

=====

w.
VASP calculation (SCAN) on a crystal of LiSc2Pt relaxed with PBEsol.

- Density of states at the Fermi level: 0.917 states/eV per atom

abc: 3.874 3.874 21.765
angles: 90.00 90.00 120.00
Positions (direct):
Li  0.000  0.000  0.000
Li  0.333  0.667  0.667
Li  0.667  0.333  0.333
Sc  0.000  0.000  0.228
Sc  0.000  0.000  0.772
Sc  0.333  0.667  0.439
Sc  0.333  0.667  0.895
Sc  0.667  0.333  0.105
Sc  0.667  0.333  0.561
Pt  0.000  0.000  0.500
Pt  0.333  0.667  0.167
Pt  0.667  0.333  0.833

=====

x.
VASP calculation (SCAN) on a crystal of LiSc2Pt relaxed with PBEsol.

- Density of states at the Fermi level: 0.724 states/eV per atom

abc: 4.533 4.533 3.415
angles: 90.00 90.00 90.00
Positions (direct):
Li  0.000  0.000  0.000
Sc  0.000  0.500  0.500
Sc  0.500  0.000  0.500
Pt  0.500  0.500  0.000

=====

Most stable pick: x. Distance to second place: 24.3 kJ/mol of atoms.

=====

w.
VASP calculation (SCAN) on a crystal of CaTaCo2 relaxed with PBEsol.

- Density of states at the Fermi level: 0.662 states/eV per atom

abc: 3.169 3.169 22.948
angles: 90.00 90.00 120.00
Positions (direct):
Ca  0.000  0.000  0.000
Ca  0.333  0.667  0.667
Ca  0.667  0.333  0.333
Ta  0.000  0.000  0.500
Ta  0.333  0.667  0.167
Ta  0.667  0.333  0.833
Co  0.000  0.000  0.237
Co  0.000  0.000  0.763
Co  0.333  0.667  0.430
Co  0.333  0.667  0.904
Co  0.667  0.333  0.096
Co  0.667  0.333  0.570

=====

x.
VASP calculation (SCAN) on a crystal of CaTaCo2 relaxed with PBEsol.

- Density of states at the Fermi level: 0.448 states/eV per atom

abc: 4.524 4.524 2.938
angles: 90.00 90.00 90.00
Positions (direct):
Ca  0.000  0.000  0.000
Ta  0.500  0.500  0.000
Co  0.000  0.500  0.500
Co  0.500  0.000  0.500

=====

Most stable pick: x. Distance to second place: 28.6 kJ/mol of atoms.